Dy5NiAu4 | PBE | relaxed

Calculated values
Space group   P4/mmm, No. 123
DFT formation energy   -0.761 eV/atom
Total DFT energy (no corrections)   -4.9510 eV/atom

a = 3.5451 Å, b = 3.5451 Å, c = 17.9760 Å
α = 90.00°, β = 90.00°, γ = 90.00°
With the nearest neighbours (Å) after each atom.
Element x y z (fractional)
Dy 0.5000 0.5000 0.0908  4 Ni 2.99, 4 Au 3.11, 1 Dy 3.26
Dy 0.5000 0.5000 0.2951  8 Au 3.10-3.11
Dy 0.5000 0.5000 0.5000  8 Au 3.11
Dy 0.5000 0.5000 0.7049  8 Au 3.10-3.11
Dy 0.5000 0.5000 0.9092  4 Ni 2.99, 4 Au 3.11, 1 Dy 3.26
Ni 0.0000 0.0000 0.0000  8 Dy 2.99
Au 0.0000 0.0000 0.1936  8 Dy 3.10-3.11
Au 0.0000 0.0000 0.3977  8 Dy 3.11
Au 0.0000 0.0000 0.6023  8 Dy 3.11
Au 0.0000 0.0000 0.8064  8 Dy 3.10-3.11